No. 1
# RbDy2CuTeS3 PBE-GGA relaxed
data_RbDy2CuTeS3
_cell_length_a 7.347
_cell_length_b 7.347
_cell_length_c 14.209
_cell_angle_alpha 90.00
_cell_angle_beta 90.00
_cell_angle_gamma 147.72
_symmetry_space_group_name_H-M 'P 1'
_symmetry_Int_Tables_number 1
loop_
_symmetry_equiv_pos_as_xyz
'x,y,z'
loop_
_atom_site_label
_atom_site_type_symbol
_atom_site_fract_x
_atom_site_fract_y
_atom_site_fract_z
S1 S 0.500 0.500 0.500
S2 S 0.752 0.248 0.895
S3 S 0.500 0.500 0.000
S4 S 0.248 0.752 0.395
S5 S 0.248 0.752 0.105
S6 S 0.752 0.248 0.605
Cu1 Cu 0.332 0.668 0.250
Cu2 Cu 0.668 0.332 0.750
Rb1 Rb 0.634 0.366 0.250
Rb2 Rb 0.366 0.634 0.750
Dy1 Dy 0.133 0.867 0.551
Dy2 Dy 0.133 0.867 0.949
Dy3 Dy 0.867 0.133 0.051
Dy4 Dy 0.867 0.133 0.449
Te1 Te 0.943 0.057 0.250
Te2 Te 0.057 0.943 0.750
# Crystal system   orthorhombic

No. 2
# RbDy2CuTe3S PBE-GGA relaxed
data_RbDy2CuTe3S
_cell_length_a 7.708
_cell_length_b 7.708
_cell_length_c 15.437
_cell_angle_alpha 90.00
_cell_angle_beta 90.00
_cell_angle_gamma 148.19
_symmetry_space_group_name_H-M 'P 1'
_symmetry_Int_Tables_number 1
loop_
_symmetry_equiv_pos_as_xyz
'x,y,z'
loop_
_atom_site_label
_atom_site_type_symbol
_atom_site_fract_x
_atom_site_fract_y
_atom_site_fract_z
Te1 Te 0.242 0.758 0.393
Te2 Te 0.758 0.242 0.893
Te3 Te 0.941 0.059 0.250
Te4 Te 0.059 0.941 0.750
Te5 Te 0.758 0.242 0.607
Te6 Te 0.242 0.758 0.107
Dy1 Dy 0.882 0.118 0.440
Dy2 Dy 0.118 0.882 0.940
Dy3 Dy 0.882 0.118 0.060
Dy4 Dy 0.118 0.882 0.560
Rb1 Rb 0.625 0.375 0.250
Rb2 Rb 0.375 0.625 0.750
Cu1 Cu 0.661 0.339 0.750
Cu2 Cu 0.339 0.661 0.250
S1 S 0.500 0.500 0.000
S2 S 0.500 0.500 0.500
# Crystal system   orthorhombic

No. 3
# RbDy2Cu3Se5 PBE-GGA relaxed
data_RbDy2Cu3Se5
_cell_length_a 7.540
_cell_length_b 7.540
_cell_length_c 17.112
_cell_angle_alpha 90.00
_cell_angle_beta 90.00
_cell_angle_gamma 148.31
_symmetry_space_group_name_H-M 'P 1'
_symmetry_Int_Tables_number 1
loop_
_symmetry_equiv_pos_as_xyz
'x,y,z'
loop_
_atom_site_label
_atom_site_type_symbol
_atom_site_fract_x
_atom_site_fract_y
_atom_site_fract_z
Se1 Se 0.059 0.941 0.117
Se2 Se 0.941 0.059 0.617
Se3 Se 0.666 0.334 0.572
Se4 Se 0.941 0.059 0.883
Se5 Se 0.255 0.745 0.750
Se6 Se 0.666 0.334 0.928
Se7 Se 0.334 0.666 0.428
Se8 Se 0.745 0.255 0.250
Se9 Se 0.059 0.941 0.383
Se10 Se 0.334 0.666 0.072
Cu1 Cu 0.915 0.085 0.028
Cu2 Cu 0.085 0.915 0.528
Cu3 Cu 0.085 0.915 0.972
Cu4 Cu 0.159 0.841 0.250
Cu5 Cu 0.841 0.159 0.750
Cu6 Cu 0.915 0.085 0.472
Dy1 Dy 0.692 0.308 0.092
Dy2 Dy 0.308 0.692 0.908
Dy3 Dy 0.692 0.308 0.408
Dy4 Dy 0.308 0.692 0.592
Rb1 Rb 0.439 0.561 0.250
Rb2 Rb 0.561 0.439 0.750
# Crystal system   orthorhombic

No. 4
# RbDyCuSe5 PBE-GGA relaxed
data_RbDyCuSe5
_cell_length_a 6.495
_cell_length_b 8.272
_cell_length_c 9.571
_cell_angle_alpha 90.00
_cell_angle_beta 107.59
_cell_angle_gamma 90.00
_symmetry_space_group_name_H-M 'P 1'
_symmetry_Int_Tables_number 1
loop_
_symmetry_equiv_pos_as_xyz
'x,y,z'
loop_
_atom_site_label
_atom_site_type_symbol
_atom_site_fract_x
_atom_site_fract_y
_atom_site_fract_z
Dy1 Dy 0.000 0.500 0.500
Dy2 Dy 0.000 0.000 0.500
Cu1 Cu 0.708 0.250 0.629
Cu2 Cu 0.292 0.750 0.371
Se1 Se 0.913 0.750 0.213
Se2 Se 0.141 0.492 0.236
Se3 Se 0.087 0.250 0.787
Se4 Se 0.333 0.250 0.615
Se5 Se 0.667 0.750 0.385
Se6 Se 0.694 0.250 0.377
Se7 Se 0.859 0.508 0.764
Se8 Se 0.306 0.750 0.623
Se9 Se 0.859 0.992 0.764
Se10 Se 0.141 0.008 0.236
Rb1 Rb 0.713 0.250 0.024
Rb2 Rb 0.287 0.750 0.976
# Crystal system   monoclinic

No. 5
# RbDy2Cu3TeSe4 PBE-GGA relaxed
data_RbDy2Cu3TeSe4
_cell_length_a 7.556
_cell_length_b 7.556
_cell_length_c 17.497
_cell_angle_alpha 90.00
_cell_angle_beta 90.00
_cell_angle_gamma 147.91
_symmetry_space_group_name_H-M 'P 1'
_symmetry_Int_Tables_number 1
loop_
_symmetry_equiv_pos_as_xyz
'x,y,z'
loop_
_atom_site_label
_atom_site_type_symbol
_atom_site_fract_x
_atom_site_fract_y
_atom_site_fract_z
Se1 Se 0.940 0.060 0.614
Se2 Se 0.060 0.940 0.114
Se3 Se 0.334 0.666 0.072
Se4 Se 0.334 0.666 0.428
Se5 Se 0.940 0.060 0.886
Se6 Se 0.666 0.334 0.928
Se7 Se 0.666 0.334 0.572
Se8 Se 0.060 0.940 0.386
Rb1 Rb 0.452 0.548 0.250
Rb2 Rb 0.548 0.452 0.750
Dy1 Dy 0.311 0.689 0.913
Dy2 Dy 0.311 0.689 0.587
Dy3 Dy 0.689 0.311 0.413
Dy4 Dy 0.689 0.311 0.087
Cu1 Cu 0.845 0.155 0.750
Cu2 Cu 0.914 0.086 0.471
Cu3 Cu 0.086 0.914 0.529
Cu4 Cu 0.914 0.086 0.029
Cu5 Cu 0.086 0.914 0.971
Cu6 Cu 0.155 0.845 0.250
Te1 Te 0.246 0.754 0.750
Te2 Te 0.754 0.246 0.250
# Crystal system   orthorhombic

No. 6
# RbDy2CuTe3Se PBE-GGA relaxed
data_RbDy2CuTe3Se
_cell_length_a 7.845
_cell_length_b 7.845
_cell_length_c 15.083
_cell_angle_alpha 90.00
_cell_angle_beta 90.00
_cell_angle_gamma 147.96
_symmetry_space_group_name_H-M 'P 1'
_symmetry_Int_Tables_number 1
loop_
_symmetry_equiv_pos_as_xyz
'x,y,z'
loop_
_atom_site_label
_atom_site_type_symbol
_atom_site_fract_x
_atom_site_fract_y
_atom_site_fract_z
Se1 Se 0.074 0.926 0.250
Se2 Se 0.926 0.074 0.750
Te1 Te 0.230 0.770 0.613
Te2 Te 0.500 0.500 0.000
Te3 Te 0.500 0.500 0.500
Te4 Te 0.770 0.230 0.113
Te5 Te 0.230 0.770 0.887
Te6 Te 0.770 0.230 0.387
Cu1 Cu 0.659 0.341 0.250
Cu2 Cu 0.341 0.659 0.750
Rb1 Rb 0.403 0.597 0.250
Rb2 Rb 0.597 0.403 0.750
Dy1 Dy 0.865 0.135 0.572
Dy2 Dy 0.135 0.865 0.072
Dy3 Dy 0.135 0.865 0.428
Dy4 Dy 0.865 0.135 0.928
# Crystal system   orthorhombic

No. 7
# RbDy2Cu3Te5 PBE-GGA relaxed
data_RbDy2Cu3Te5
_cell_length_a 8.006
_cell_length_b 8.006
_cell_length_c 18.211
_cell_angle_alpha 90.00
_cell_angle_beta 90.00
_cell_angle_gamma 148.27
_symmetry_space_group_name_H-M 'P 1'
_symmetry_Int_Tables_number 1
loop_
_symmetry_equiv_pos_as_xyz
'x,y,z'
loop_
_atom_site_label
_atom_site_type_symbol
_atom_site_fract_x
_atom_site_fract_y
_atom_site_fract_z
Cu1 Cu 0.160 0.840 0.750
Cu2 Cu 0.914 0.086 0.977
Cu3 Cu 0.086 0.914 0.023
Cu4 Cu 0.840 0.160 0.250
Cu5 Cu 0.086 0.914 0.477
Cu6 Cu 0.914 0.086 0.523
Te1 Te 0.663 0.337 0.426
Te2 Te 0.056 0.944 0.881
Te3 Te 0.663 0.337 0.074
Te4 Te 0.944 0.056 0.381
Te5 Te 0.944 0.056 0.119
Te6 Te 0.750 0.250 0.750
Te7 Te 0.250 0.750 0.250
Te8 Te 0.337 0.663 0.926
Te9 Te 0.337 0.663 0.574
Te10 Te 0.056 0.944 0.619
Rb1 Rb 0.444 0.556 0.750
Rb2 Rb 0.556 0.444 0.250
Dy1 Dy 0.308 0.692 0.091
Dy2 Dy 0.692 0.308 0.909
Dy3 Dy 0.308 0.692 0.409
Dy4 Dy 0.692 0.308 0.591
# Crystal system   orthorhombic

No. 8
# RbDy2CuTe4 PBE-GGA relaxed
data_RbDy2CuTe4
_cell_length_a 7.933
_cell_length_b 7.933
_cell_length_c 15.451
_cell_angle_alpha 90.00
_cell_angle_beta 90.00
_cell_angle_gamma 147.79
_symmetry_space_group_name_H-M 'P 1'
_symmetry_Int_Tables_number 1
loop_
_symmetry_equiv_pos_as_xyz
'x,y,z'
loop_
_atom_site_label
_atom_site_type_symbol
_atom_site_fract_x
_atom_site_fract_y
_atom_site_fract_z
Te1 Te 0.500 0.500 0.500
Te2 Te 0.067 0.933 0.750
Te3 Te 0.933 0.067 0.250
Te4 Te 0.235 0.765 0.389
Te5 Te 0.235 0.765 0.111
Te6 Te 0.765 0.235 0.889
Te7 Te 0.500 0.500 0.000
Te8 Te 0.765 0.235 0.611
Dy1 Dy 0.134 0.866 0.565
Dy2 Dy 0.866 0.134 0.065
Dy3 Dy 0.866 0.134 0.435
Dy4 Dy 0.134 0.866 0.935
Cu1 Cu 0.662 0.338 0.750
Cu2 Cu 0.338 0.662 0.250
Rb1 Rb 0.389 0.611 0.750
Rb2 Rb 0.611 0.389 0.250
# Crystal system   orthorhombic

No. 9
# Dy2CuS3 PBE-GGA relaxed
data_Dy2CuS3
_cell_length_a 6.545
_cell_length_b 6.545
_cell_length_c 10.157
_cell_angle_alpha 90.00
_cell_angle_beta 90.00
_cell_angle_gamma 146.72
_symmetry_space_group_name_H-M 'P 1'
_symmetry_Int_Tables_number 1
loop_
_symmetry_equiv_pos_as_xyz
'x,y,z'
loop_
_atom_site_label
_atom_site_type_symbol
_atom_site_fract_x
_atom_site_fract_y
_atom_site_fract_z
S1 S 0.404 0.596 0.250
S2 S 0.855 0.145 0.580
S3 S 0.596 0.404 0.750
S4 S 0.145 0.855 0.420
S5 S 0.145 0.855 0.080
S6 S 0.855 0.145 0.920
Dy1 Dy 0.268 0.732 0.750
Dy2 Dy 0.500 0.500 0.000
Dy3 Dy 0.500 0.500 0.500
Dy4 Dy 0.732 0.268 0.250
Cu1 Cu 0.980 0.020 0.750
Cu2 Cu 0.020 0.980 0.250
# Crystal system   orthorhombic

No. 10
# DyCu3S4 PBE-GGA relaxed
data_DyCu3S4
_cell_length_a 6.608
_cell_length_b 6.608
_cell_length_c 6.608
_cell_angle_alpha 130.98
_cell_angle_beta 130.98
_cell_angle_gamma 71.85
_symmetry_space_group_name_H-M 'P 1'
_symmetry_Int_Tables_number 1
loop_
_symmetry_equiv_pos_as_xyz
'x,y,z'
loop_
_atom_site_label
_atom_site_type_symbol
_atom_site_fract_x
_atom_site_fract_y
_atom_site_fract_z
Cu1 Cu 0.250 0.750 0.500
Cu2 Cu 0.750 0.250 0.500
Cu3 Cu 0.500 0.500 0.000
Dy1 Dy 0.000 0.000 0.000
S1 S 0.140 0.140 0.557
S2 S 0.860 0.416 0.000
S3 S 0.416 0.860 0.000
S4 S 0.584 0.584 0.443
# Crystal system   tetragonal

No. 11
# DyCuSnSe2S PBE-GGA relaxed
data_DyCuSnSe2S
_cell_length_a 7.016
_cell_length_b 7.016
_cell_length_c 10.160
_cell_angle_alpha 90.00
_cell_angle_beta 90.00
_cell_angle_gamma 147.29
_symmetry_space_group_name_H-M 'P 1'
_symmetry_Int_Tables_number 1
loop_
_symmetry_equiv_pos_as_xyz
'x,y,z'
loop_
_atom_site_label
_atom_site_type_symbol
_atom_site_fract_x
_atom_site_fract_y
_atom_site_fract_z
Se1 Se 0.646 0.354 0.434
Se2 Se 0.646 0.354 0.066
Se3 Se 0.354 0.646 0.934
Se4 Se 0.354 0.646 0.566
Cu1 Cu 0.525 0.475 0.250
Cu2 Cu 0.475 0.525 0.750
S1 S 0.925 0.075 0.250
S2 S 0.075 0.925 0.750
Sn1 Sn 0.747 0.253 0.750
Sn2 Sn 0.253 0.747 0.250
Dy1 Dy 0.000 0.000 0.000
Dy2 Dy 0.000 0.000 0.500
# Crystal system   orthorhombic

No. 12
# Dy3CuSiS7 PBE-GGA relaxed
data_Dy3CuSiS7
_cell_length_a 9.897
_cell_length_b 9.897
_cell_length_c 5.668
_cell_angle_alpha 90.00
_cell_angle_beta 90.00
_cell_angle_gamma 120.00
_symmetry_space_group_name_H-M 'P 1'
_symmetry_Int_Tables_number 1
loop_
_symmetry_equiv_pos_as_xyz
'x,y,z'
loop_
_atom_site_label
_atom_site_type_symbol
_atom_site_fract_x
_atom_site_fract_y
_atom_site_fract_z
Dy1 Dy 0.875 0.644 0.751
Dy2 Dy 0.769 0.125 0.751
Dy3 Dy 0.644 0.769 0.251
Dy4 Dy 0.125 0.356 0.251
Dy5 Dy 0.231 0.875 0.251
Dy6 Dy 0.356 0.231 0.751
S1 S 0.414 0.521 0.511
S2 S 0.893 0.414 0.011
S3 S 0.586 0.479 0.011
S4 S 0.742 0.833 0.771
S5 S 0.258 0.167 0.271
S6 S 0.092 0.258 0.771
S7 S 0.908 0.742 0.271
S8 S 0.167 0.908 0.771
S9 S 0.521 0.107 0.011
S10 S 0.107 0.586 0.511
S11 S 0.667 0.333 0.534
S12 S 0.479 0.893 0.511
S13 S 0.333 0.667 0.034
S14 S 0.833 0.092 0.271
Cu1 Cu 0.000 0.000 0.283
Cu2 Cu 0.000 0.000 0.783
Si1 Si 0.667 0.333 0.162
Si2 Si 0.333 0.667 0.662
# Crystal system   hexagonal

For the records above, the corresponding DFT total energy values read -5.17 -4.63 -4.65 -4.10 -4.54 -4.57 -4.20 -4.44 -5.76 -4.69 -4.88 -5.85 eV per atom.